DFT (PBE) results for BaSbRh after structural relaxation.

As for the density of states at the Fermi level: 1.98 states/eV/f.u. As for the formation energy from raw total energies: -441 meV/atom. For the energy, the calculation gives -4.906 eV per atom. The calculation puts the calculated density at 7.4 g/cm³. The calculation puts the total magnetization at 0.000 μB/f.u.

The structure belongs to space group I4mm (No. 107); the cell edges are 3.671, 3.671 and 11.996 Å and the angles 90.00°, 90.00° and 90.00°. The asymmetric unit holds Ba at (0.000, 0.000, 0.000), Sb at (0.000, 0.000, 0.284) and Rh at (0.000, 0.000, 0.709).